This record from the Alexandria database describes an optimized crystal structure of SnPb2Se. The functional is PBE.

Cell lengths 5.414, 5.414, 5.414 Å; angles 60.00, 60.00, 60.00 degrees
Positions (direct):
Pb (0.250, 0.250, 0.250)
Se (0.000, 0.000, 0.000)
Sn (0.500, 0.500, 0.500)
Pb (0.750, 0.750, 0.750)

Output
Space group: No. 225
Crystal system: cubic
ΔE_f (raw), eV/atom: 0.004
Electronic total energy, eV for the cell shown: -14.9